The following is a DFT calculation (GGA-PBE) of a relaxed structure of TmLuCo2.

Values from the calculation:
Magnetic moment = 0.622 μB/f.u.
Density of states at the Fermi level = 8.3 states/eV per cell
E_form = -0.96 eV per formula unit
DFT total energy = -6.041 eV per atom

```
data_TmLuCo2
_chemical_formula_sum 'Tm4 Lu4 Co8'
_symmetry_space_group_name_H-M 'F m -3 m'
_symmetry_Int_Tables_number 225
_symmetry_space_group_name_Hall '-F 4 2 3'
_cell_length_a 6.542
_cell_length_b 6.542
_cell_length_c 6.542
_cell_angle_alpha 90.00
_cell_angle_beta 90.00
_cell_angle_gamma 90.00
loop_
_atom_site_label
_atom_site_fract_x
_atom_site_fract_y
_atom_site_fract_z
Tm1 0.000 0.000 0.000
Lu1 0.000 0.000 0.500
Co1 0.250 0.250 0.250
```